[1]
# Er11In6Si4 PBE optimized geometry
data_Er11In6Si4
_chemical_formula_sum 'Er44 In24 Si16'
_space_group_name_H-M_alt 'I 4/m m m'
_space_group_IT_number 139
_space_group_name_Hall '-I 4 2'
_cell_length_a 11.371
_cell_length_b 11.371
_cell_length_c 16.064
_cell_angle_alpha 90.00
_cell_angle_beta 90.00
_cell_angle_gamma 90.00
loop_
_atom_site_label
_atom_site_fract_x
_atom_site_fract_y
_atom_site_fract_z
Er1 0.000 0.000 0.170
Er2 0.000 0.250 0.315
Er3 0.000 0.348 0.102
Er4 0.166 0.166 0.500
In1 0.129 0.129 0.000
In2 0.206 0.206 0.171
Si1 0.000 0.000 0.380
Si2 0.000 0.347 0.500
Si3 0.000 0.500 0.250
# magnetic moment: 0.4 Bohr magnetons per cell
# crystal system: tetragonal
# VASP energy: -4.80 eV per atom

---

[2]
# GdHoNO PBE optimized geometry
data_GdHoNO
_chemical_formula_sum 'Gd4 Ho4 N4 O4'
_space_group_name_H-M_alt 'P c a 21'
_space_group_IT_number 29
_cell_length_a 6.610
_cell_length_b 8.081
_cell_length_c 4.961
_cell_angle_alpha 90.00
_cell_angle_beta 90.00
_cell_angle_gamma 90.00
loop_
_space_group_symop_operation_xyz
'x,y,z'
'-x,-y,z+1/2'
'-x+1/2,y,z+1/2'
'x+1/2,-y,z'
loop_
_atom_site_label
_atom_site_fract_x
_atom_site_fract_y
_atom_site_fract_z
Gd1 0.082 0.128 0.000
Ho1 0.071 0.621 0.001
N1 0.066 0.129 0.501
O1 0.095 0.626 0.501
# magnetic moment: 0.0 Bohr magnetons per cell
# crystal system: orthorhombic
# VASP energy: -7.80 eV per atom

---

[3]
# AlFeW PBE optimized geometry
data_AlFeW
_chemical_formula_sum 'Al4 Fe4 W4'
_space_group_name_H-M_alt 'F -4 3 m'
_space_group_IT_number 216
_space_group_name_Hall 'F -4 2 3'
_cell_length_a 5.736
_cell_length_b 5.736
_cell_length_c 5.736
_cell_angle_alpha 90.00
_cell_angle_beta 90.00
_cell_angle_gamma 90.00
loop_
_atom_site_label
_atom_site_fract_x
_atom_site_fract_y
_atom_site_fract_z
Al1 0.000 0.000 0.000
Fe1 0.250 0.250 0.750
W1 0.250 0.250 0.250
# magnetic moment: 11.7 Bohr magnetons per cell
# crystal system: cubic
# VASP energy: -7.42 eV per atom

---

[4]
# UBeAu PBE optimized geometry
data_UBeAu
_chemical_formula_sum 'U4 Be4 Au4'
_space_group_name_H-M_alt 'F -4 3 m'
_space_group_IT_number 216
_space_group_name_Hall 'F -4 2 3'
_cell_length_a 6.584
_cell_length_b 6.584
_cell_length_c 6.584
_cell_angle_alpha 90.00
_cell_angle_beta 90.00
_cell_angle_gamma 90.00
loop_
_atom_site_label
_atom_site_fract_x
_atom_site_fract_y
_atom_site_fract_z
U1 0.000 0.000 0.000
Be1 0.250 0.250 0.250
Au1 0.250 0.250 0.750
# magnetic moment: 11.4 Bohr magnetons per cell
# crystal system: cubic
# VASP energy: -5.17 eV per atom

---

[5]
# NbCu2Sn PBE optimized geometry
data_NbCu2Sn
_chemical_formula_sum 'Nb4 Cu8 Sn4'
_space_group_name_H-M_alt 'F -4 3 m'
_space_group_IT_number 216
_space_group_name_Hall 'F -4 2 3'
_cell_length_a 6.388
_cell_length_b 6.388
_cell_length_c 6.388
_cell_angle_alpha 90.00
_cell_angle_beta 90.00
_cell_angle_gamma 90.00
loop_
_atom_site_label
_atom_site_fract_x
_atom_site_fract_y
_atom_site_fract_z
Nb1 0.000 0.000 0.000
Cu1 0.000 0.000 0.500
Cu2 0.250 0.250 0.250
Sn1 0.250 0.250 0.750
# magnetic moment: 2.2 Bohr magnetons per cell
# crystal system: cubic
# VASP energy: -5.13 eV per atom

---

[6]
# PmCd5Au2 PBE optimized geometry
data_PmCd5Au2
_chemical_formula_sum 'Pm2 Cd10 Au4'
_space_group_name_H-M_alt 'I m m m'
_space_group_IT_number 71
_space_group_name_Hall '-I 2 2'
_cell_length_a 3.945
_cell_length_b 8.734
_cell_length_c 10.594
_cell_angle_alpha 90.00
_cell_angle_beta 90.00
_cell_angle_gamma 90.00
loop_
_atom_site_label
_atom_site_fract_x
_atom_site_fract_y
_atom_site_fract_z
Pm1 0.000 0.000 0.000
Cd1 0.000 0.196 0.357
Cd2 0.000 0.500 0.000
Au1 0.000 0.500 0.276
# magnetic moment: 0.0 Bohr magnetons per cell
# crystal system: orthorhombic
# VASP energy: -2.31 eV per atom
# E_form: -260 kJ/mol of formula units

---

[7]
# LuNpPt PBE optimized geometry
data_LuNpPt
_chemical_formula_sum 'Lu4 Np4 Pt4'
_space_group_name_H-M_alt 'F -4 3 m'
_space_group_IT_number 216
_space_group_name_Hall 'F -4 2 3'
_cell_length_a 6.711
_cell_length_b 6.711
_cell_length_c 6.711
_cell_angle_alpha 90.00
_cell_angle_beta 90.00
_cell_angle_gamma 90.00
loop_
_atom_site_label
_atom_site_fract_x
_atom_site_fract_y
_atom_site_fract_z
Lu1 0.000 0.000 0.000
Np1 0.000 0.000 0.500
Pt1 0.250 0.250 0.250
# magnetic moment: 18.7 Bohr magnetons per cell
# crystal system: cubic
# VASP energy: -8.15 eV per atom
# E_form: -105 kJ/mol of formula units

---

[8]
# TlNiMoOs PBE optimized geometry
data_TlNiMoOs
_chemical_formula_sum 'Tl4 Ni4 Mo4 Os4'
_space_group_name_H-M_alt 'F -4 3 m'
_space_group_IT_number 216
_space_group_name_Hall 'F -4 2 3'
_cell_length_a 6.325
_cell_length_b 6.325
_cell_length_c 6.325
_cell_angle_alpha 90.00
_cell_angle_beta 90.00
_cell_angle_gamma 90.00
loop_
_atom_site_label
_atom_site_fract_x
_atom_site_fract_y
_atom_site_fract_z
Tl1 0.000 0.000 0.000
Ni1 0.250 0.250 0.250
Mo1 0.250 0.250 0.750
Os1 0.000 0.000 0.500
# magnetic moment: 2.9 Bohr magnetons per cell
# crystal system: cubic
# VASP energy: -6.84 eV per atom

---

[9]
# Mg4Ni5Sb4 PBE optimized geometry
data_Mg4Ni5Sb4
_chemical_formula_sum 'Mg12 Ni15 Sb12'
_space_group_name_H-M_alt 'R 3 m'
_space_group_IT_number 160
_space_group_name_Hall 'R 3 -2"'
_cell_length_a 4.3205
_cell_length_b 4.3205
_cell_length_c 42.0040
_cell_angle_alpha 90.00
_cell_angle_beta 90.00
_cell_angle_gamma 120.00
loop_
_atom_site_label
_atom_site_fract_x
_atom_site_fract_y
_atom_site_fract_z
Mg1 0.0000 0.0000 0.0000
Mg2 0.0000 0.0000 0.2446
Mg3 0.0000 0.0000 0.4972
Mg4 0.0000 0.0000 0.7477
Ni1 0.0000 0.0000 0.1842
Ni2 0.0000 0.0000 0.3095
Ni3 0.0000 0.0000 0.4349
Ni4 0.0000 0.0000 0.6836
Ni5 0.0000 0.0000 0.9356
Sb1 0.0000 0.0000 0.1219
Sb2 0.0000 0.0000 0.3734
Sb3 0.0000 0.0000 0.6211
Sb4 0.0000 0.0000 0.8716
# magnetic moment: 0.0 Bohr magnetons per cell
# crystal system: trigonal
# VASP energy: -4.26 eV per atom

---

[10]
# La2CdIn PBE optimized geometry
data_La2CdIn
_chemical_formula_sum 'La4 Cd2 In2'
_space_group_name_H-M_alt 'P 63/m m c'
_space_group_IT_number 194
_space_group_name_Hall '-P 6c 2c'
_cell_length_a 5.3634
_cell_length_b 5.3634
_cell_length_c 10.4568
_cell_angle_alpha 90.00
_cell_angle_beta 90.00
_cell_angle_gamma 120.00
loop_
_atom_site_label
_atom_site_fract_x
_atom_site_fract_y
_atom_site_fract_z
La1 0.3333 0.6667 0.1034
Cd1 0.3333 0.6667 0.7500
In1 0.0000 0.0000 0.0000
# magnetic moment: 0.0 Bohr magnetons per cell
# crystal system: hexagonal
# VASP energy: -3.47 eV per atom